FeRe3O: optimized geometry, PBE with a Hubbard U.

Cell lengths 4.0206, 4.0206, 4.0206 Å; angles 90.00, 90.00, 90.00 degrees
Atoms (fractional coordinates):
Fe: 0.0000 0.0000 0.0000
Re: 0.0000 0.5000 0.5000
Re: 0.5000 0.0000 0.5000
Re: 0.5000 0.5000 0.0000
O: 0.5000 0.5000 0.5000

- Magnetic moment: 0.284 μB per formula unit
- ρ: 16.1 g/cm3
- VASP energy: -41.90 eV for the cell shown